Entry 1:
The following is a DFT calculation (GGA-PBE) of a relaxed structure of Ag2HgMo.

```
Ag2HgMo
1.0
-1.820 2.997 -3.703
-5.078 0.181 0.434
3.687 0.780 3.435
Ag Mo Hg
2 1 1
direct
0.000 0.000 0.000
0.500 0.500 0.000
0.750 0.250 0.500
0.250 0.750 0.500
```

Values from the calculation:
energy relative to the elements: 0.63 eV per atom
total magnetization: 2.08 μB/cell
Fermi-level density of states: 2.0 states/eV/f.u.



Entry 2:
The following is a DFT calculation (GGA-PBE) of a relaxed structure of Sc6In3Rh.

```
Sc6In3Rh
1.0
-1.394 -2.879 -3.758
7.203 2.160 -4.328
2.383 -8.614 5.716
Sc Rh In
12 2 6
direct
0.750 0.309 0.328
0.250 0.088 0.860
0.250 0.220 0.495
0.750 0.912 0.140
0.750 0.551 0.919
0.750 0.780 0.505
0.250 0.449 0.081
0.250 0.134 0.170
0.750 0.866 0.830
0.250 0.691 0.672
0.250 0.851 0.319
0.750 0.149 0.681
0.750 0.041 0.406
0.250 0.959 0.594
0.750 0.219 0.020
0.250 0.517 0.382
0.250 0.391 0.783
0.750 0.609 0.217
0.750 0.483 0.618
0.250 0.781 0.980
```

Values from the calculation:
energy relative to the elements: -0.47 eV per atom
total magnetization: 0.13 μB/cell
Fermi-level density of states: 9.9 states/eV/f.u.



Entry 3:
The following is a DFT calculation (GGA-PBE) of a relaxed structure of CoPt3I.

```
CoPt3I
1.0
-2.794 2.576 -2.702
-0.519 -3.610 -2.905
-3.696 -1.440 2.450
Pt I Co
3 1 1
direct
0.500 0.000 0.000
0.000 0.000 0.500
0.000 0.500 0.000
0.500 0.500 0.500
0.000 0.000 0.000
```

Values from the calculation:
E_form (uncorrected): 0.95 eV/atom
total magnetization: 2.94 μB/cell
Fermi-level density of states: 5.7 states/eV/f.u.



Entry 4:
The following is a DFT calculation (GGA-PBE) of a relaxed structure of KInC.

```
KInC
1.0
-3.826 -3.261 -0.993
1.434 -5.059 -1.062
-2.109 0.764 6.975
C K In
2 2 2
direct
0.458 0.622 0.153
0.593 0.772 0.242
0.916 0.122 0.196
0.093 0.764 0.529
0.694 0.628 0.850
0.361 0.301 0.864
```

Values from the calculation:
energy relative to the elements: 0.30 eV per atom
total magnetization: 0.00 μB/cell
Fermi-level density of states: 0.0 states/eV/f.u.